DFT (PBE-GGA) results for a relaxed structure of Tm5Bi2Sb2.

Cell and atoms, written as POSCAR:
```
Tm5Bi2Sb2
1.0
8.157 0.000 0.000
0.000 7.186 -3.694
0.000 -0.085 8.672
Bi Sb Tm
4 4 10
Direct
0.500 0.701 0.403 Bi
0.500 0.299 0.597 Bi
0.000 0.799 0.597 Bi
0.000 0.201 0.403 Bi
0.144 0.645 0.000 Sb
0.644 0.855 0.000 Sb
0.356 0.145 0.000 Sb
0.856 0.355 0.000 Sb
0.500 0.500 0.000 Tm
0.000 0.000 0.000 Tm
0.158 0.211 0.736 Tm
0.842 0.525 0.736 Tm
0.158 0.475 0.264 Tm
0.658 0.289 0.264 Tm
0.842 0.789 0.264 Tm
0.342 0.975 0.264 Tm
0.342 0.711 0.736 Tm
0.658 0.025 0.736 Tm
```

**Offset from the most stable computed form**: 0 meV/atom
**Fermi-level density of states**: 18.57 states/eV per cell
**ρ**: 9.9 g/cm3
**Calculated volume**: 28.10 Å³/atom
**Uncorrected formation energy**: -7.30 eV/f.u.

---

DFT (PBE-GGA) results for a relaxed structure of Rb2SbSe3.

Cell and atoms, written as POSCAR:
```
Rb2SbSe3
1.0
8.980 -0.578 0.000
-5.031 7.578 0.000
0.000 0.000 15.873
Se Sb Rb
12 4 8
Direct
0.969 0.389 0.269 Se
0.031 0.611 0.731 Se
0.469 0.389 0.231 Se
0.062 0.184 0.636 Se
0.588 0.293 0.468 Se
0.438 0.816 0.136 Se
0.531 0.611 0.769 Se
0.088 0.293 0.032 Se
0.562 0.184 0.864 Se
0.938 0.816 0.364 Se
0.912 0.707 0.968 Se
0.412 0.707 0.532 Se
0.257 0.525 0.665 Sb
0.243 0.475 0.165 Sb
0.757 0.525 0.835 Sb
0.743 0.475 0.335 Sb
0.357 0.882 0.345 Rb
0.143 0.118 0.845 Rb
0.857 0.882 0.155 Rb
0.643 0.118 0.655 Rb
0.805 0.711 0.576 Rb
0.695 0.289 0.076 Rb
0.305 0.711 0.924 Rb
0.195 0.289 0.424 Rb
```

**Offset from the most stable computed form**: 0 meV/atom
**Fermi-level density of states**: 1.37 states/eV per cell
**ρ**: 3.4 g/cm3
**Calculated volume**: 43.08 Å³/atom
**Uncorrected formation energy**: -4.63 eV/f.u.

---

DFT (PBE-GGA) results for a relaxed structure of Ag8AuF4.

Cell and atoms, written as POSCAR:
```
Ag8AuF4
1.0
-4.054 2.202 2.596
1.380 -5.010 1.008
6.780 3.414 7.691
F Ag Au
4 8 1
Direct
0.667 0.333 0.340 F
0.667 0.333 0.660 F
0.333 0.667 0.660 F
0.333 0.667 0.340 F
0.333 0.667 0.000 Ag
0.000 0.687 0.214 Ag
0.000 0.313 0.786 Ag
0.687 0.687 0.786 Ag
0.667 0.333 0.000 Ag
0.687 0.000 0.214 Ag
0.313 0.313 0.214 Ag
0.313 0.000 0.786 Ag
0.000 0.000 0.000 Au
```

**Fermi-level density of states**: 4.13 states/eV per cell
**ρ**: 7.2 g/cm3
**Calculated volume**: 20.17 Å³/atom
**Uncorrected formation energy**: -6.60 eV/f.u.

---

DFT (PBE-GGA) results for a relaxed structure of GdTmMgZn.

Cell and atoms, written as POSCAR:
```
GdTmMgZn
1.0
-1.887 4.397 2.001
-4.580 -0.015 2.434
-0.205 0.629 5.144
Zn Gd Mg Tm
1 1 1 1
Direct
0.000 0.000 0.000 Zn
0.750 0.750 0.750 Gd
0.500 0.500 0.500 Mg
0.250 0.250 0.250 Tm
```

**Fermi-level density of states**: 3.16 states/eV per cell
**ρ**: 7.0 g/cm3
**ΔH_f (0 K)**: -0.179 eV/atom
**Calculated volume**: 24.66 Å³/atom

---

DFT (PBE-GGA) results for a relaxed structure of Y2ReAu.

Cell and atoms, written as POSCAR:
```
Y2ReAu
1.0
-1.021 -2.277 -5.728
-4.315 -4.340 -1.256
1.401 5.668 2.225
Re Au Y
1 1 2
Direct
0.267 0.767 0.500 Re
0.464 0.464 0.000 Au
0.736 0.236 0.500 Y
0.033 0.033 0.000 Y
```

**Offset from the most stable computed form**: 230 meV/atom
**Fermi-level density of states**: 2.37 states/eV per cell
**ρ**: 10.3 g/cm3
**ΔH_f (0 K)**: -0.047 eV/atom
**Calculated volume**: 22.51 Å³/atom

---

DFT (PBE-GGA) results for a relaxed structure of YLu2Zn.

Cell and atoms, written as POSCAR:
```
YLu2Zn
1.0
4.703 0.000 0.000
0.000 4.685 0.000
0.000 0.000 4.685
Y Lu Zn
1 2 1
Direct
0.500 0.000 0.000 Y
0.000 0.500 0.000 Lu
0.000 0.000 0.500 Lu
0.500 0.500 0.500 Zn
```

**Offset from the most stable computed form**: 141 meV/atom
**Fermi-level density of states**: 4.93 states/eV per cell
**ρ**: 8.1 g/cm3
**ΔH_f (0 K)**: -0.028 eV/atom
**Calculated volume**: 25.81 Å³/atom

---

DFT (PBE-GGA) results for a relaxed structure of Ho11Tl9Pt4.

Cell and atoms, written as POSCAR:
```
Ho11Tl9Pt4
1.0
3.671 0.000 0.000
0.000 12.282 -5.188
0.000 0.056 13.333
Ho Tl Pt
11 9 4
Direct
0.000 0.372 0.628 Ho
0.000 0.921 0.584 Ho
0.000 0.584 0.921 Ho
0.000 0.161 0.839 Ho
0.000 0.079 0.416 Ho
0.000 0.839 0.161 Ho
0.000 0.000 0.000 Ho
0.000 0.691 0.691 Ho
0.000 0.416 0.079 Ho
0.000 0.309 0.309 Ho
0.000 0.628 0.372 Ho
0.500 0.786 0.934 Tl
0.500 0.934 0.786 Tl
0.500 0.066 0.214 Tl
0.500 0.214 0.066 Tl
0.500 0.850 0.367 Tl
0.500 0.633 0.150 Tl
0.500 0.367 0.850 Tl
0.500 0.150 0.633 Tl
0.500 0.500 0.500 Tl
0.500 0.249 0.450 Pt
0.500 0.550 0.751 Pt
0.500 0.751 0.550 Pt
0.500 0.450 0.249 Pt
```

**Fermi-level density of states**: 14.18 states/eV per cell
**ρ**: 12.2 g/cm3
**ΔH_f (0 K)**: -0.674 eV/atom
**Calculated volume**: 25.09 Å³/atom

---

DFT (PBE-GGA) results for a relaxed structure of Er2Tm3Pb3.

Cell and atoms, written as POSCAR:
```
Er2Tm3Pb3
1.0
-2.521 0.846 3.472
3.162 -2.323 2.862
4.883 9.764 -1.589
Pb Tm Er
3 3 2
Direct
0.000 0.500 0.000 Pb
0.869 0.869 0.739 Pb
0.131 0.131 0.261 Pb
0.500 0.000 0.000 Tm
0.623 0.623 0.245 Tm
0.377 0.377 0.755 Tm
0.255 0.755 0.510 Er
0.745 0.245 0.490 Er
```

**Offset from the most stable computed form**: 166 meV/atom
**Fermi-level density of states**: 6.44 states/eV per cell
**ρ**: 10.9 g/cm3
**ΔH_f (0 K)**: -0.339 eV/atom
**Calculated volume**: 27.98 Å³/atom